No. 1
A geometry-optimized HoTm2CdN structure, computed with PBE.

Output
formation energy without anion corrections = -0.88 eV per atom
calculated total energy = -27.159 eV for the cell shown

a = 4.742 Å, b = 4.742 Å, c = 4.802 Å
α = 90.00°, β = 90.00°, γ = 90.00°
Space group P4/mmm (No. 123)
Unique sites:
1 Ho 0.000 0.000 0.000 x1
2 Tm 0.000 0.500 0.500 x2
3 Cd 0.500 0.500 0.000 x1
4 N 0.000 0.000 0.500 x1


No. 2
A geometry-optimized Nd6SbTe3Pb2 structure, computed with PBE.

Output
formation energy without anion corrections = -1.14 eV per atom
calculated total energy = -126.573 eV for the cell shown

a = 19.775 Å, b = 4.549 Å, c = 9.078 Å
α = 90.00°, β = 103.13°, γ = 90.00°
Space group C2/m (No. 12)
Unique sites:
1 Nd 0.002 0.000 0.245 x4
2 Nd 0.165 0.500 0.087 x4
3 Nd 0.168 0.500 0.579 x4
4 Sb 0.000 0.500 0.000 x2
5 Te 0.000 0.500 0.500 x2
6 Te 0.166 0.000 0.833 x4
7 Pb 0.167 0.000 0.333 x4


No. 3
A geometry-optimized Tb2Al8Pt structure, computed with PBE.

Output
calculated total energy = -51.426 eV for the cell shown

a = 4.298 Å, b = 4.298 Å, c = 11.229 Å
α = 90.00°, β = 90.00°, γ = 90.00°
Space group P4/mmm (No. 123)
Unique sites:
1 Tb 0.000 0.000 0.189 x2
2 Al 0.000 0.500 0.000 x2
3 Al 0.000 0.500 0.375 x4
4 Al 0.500 0.500 0.196 x2
5 Pt 0.000 0.000 0.500 x1


No. 4
A geometry-optimized PmEr2Th6 structure, computed with PBE.

Output
calculated total energy = -111.311 eV for the cell shown

a = 11.718 Å, b = 7.058 Å, c = 9.206 Å
α = 90.00°, β = 126.58°, γ = 90.00°
Space group C2/m (No. 12)
Unique sites:
1 Pm 0.000 0.000 0.000 x2
2 Er 0.205 0.500 0.123 x4
3 Th 0.073 0.239 0.350 x8
4 Th 0.173 0.500 0.704 x4


No. 5
A geometry-optimized Tb7PmHo4 structure, computed with PBE.

Output
offset from the most stable computed form = 274 meV per atom
calculated total energy = -104.426 eV for the cell shown

a = 12.019 Å, b = 5.883 Å, c = 12.634 Å
α = 90.00°, β = 118.00°, γ = 90.00°
Space group C2/m (No. 12)
Unique sites:
1 Tb 0.000 0.000 0.000 x2
2 Tb 0.060 0.500 0.327 x4
3 Tb 0.133 0.000 0.503 x4
4 Tb 0.211 0.500 0.922 x4
5 Pm 0.000 0.500 0.000 x2
6 Ho 0.134 0.000 0.775 x4
7 Ho 0.249 0.500 0.683 x4


No. 6
A geometry-optimized HfNiPd structure, computed with PBE.

Output
calculated total energy = -90.938 eV for the cell shown

a = 4.158 Å, b = 3.517 Å, c = 12.863 Å
α = 90.00°, β = 90.00°, γ = 90.00°
Space group Amm2 (No. 38)
Unique sites:
1 Hf 0.000 0.000 0.000 x2
2 Hf 0.500 0.000 0.201 x2
3 Ni 0.000 0.000 0.346 x2
4 Ni 0.500 0.000 0.533 x2
5 Pd 0.000 0.000 0.676 x2
6 Pd 0.500 0.000 0.862 x2


No. 7
A geometry-optimized ZrInSb2 structure, computed with PBE.

Output
formation energy without anion corrections = -0.05 eV per atom
calculated total energy = -19.740 eV for the cell shown

a = 3.261 Å, b = 3.261 Å, c = 9.708 Å
α = 90.00°, β = 90.00°, γ = 90.00°
Space group P4mm (No. 99)
Unique sites:
1 Zr 0.000 0.000 0.000 x1
2 In 0.500 0.500 0.220 x1
3 Sb 0.000 0.000 0.459 x1
4 Sb 0.500 0.500 0.778 x1


No. 8
A geometry-optimized MgAg2Os structure, computed with PBE.

Output
calculated total energy = -16.947 eV for the cell shown

a = 2.717 Å, b = 4.816 Å, c = 5.145 Å
α = 90.00°, β = 95.73°, γ = 90.00°
Space group P2/m (No. 10)
Unique sites:
1 Mg 0.000 0.000 0.000 x1
2 Ag 0.230 0.500 0.748 x2
3 Os 0.500 0.000 0.500 x1


No. 9
A geometry-optimized BaCo2Re structure, computed with PBE.

Output
offset from the most stable computed form = 1117 meV per atom
calculated total energy = -90.773 eV for the cell shown

a = 6.572 Å, b = 6.572 Å, c = 6.572 Å
α = 90.00°, β = 90.00°, γ = 90.00°
Space group F-43m (No. 216)
Unique sites:
1 Ba 0.000 0.000 0.000 x4
2 Co 0.000 0.000 0.500 x4
3 Co 0.250 0.250 0.750 x4
4 Re 0.250 0.250 0.250 x4


No. 10
A geometry-optimized LiEr3Tl4 structure, computed with PBE.

Output
offset from the most stable computed form = 0 meV per atom
calculated total energy = -82.544 eV for the cell shown

a = 5.2075 Å, b = 5.2075 Å, c = 26.2466 Å
α = 90.00°, β = 90.00°, γ = 120.00°
Space group R-3m (No. 166, hexagonal axes)
Unique sites:
1 Li 0.0000 0.0000 0.0000 x3
2 Er 0.0000 0.0000 0.2539 x6
3 Er 0.0000 0.0000 0.5000 x3
4 Tl 0.0000 0.0000 0.1228 x6
5 Tl 0.0000 0.0000 0.3728 x6


No. 11
A geometry-optimized GaSn2Pt2 structure, computed with PBE.

Output
offset from the most stable computed form = 124 meV per atom
calculated total energy = -47.647 eV for the cell shown

a = 4.726 Å, b = 4.726 Å, c = 10.426 Å
α = 90.00°, β = 90.00°, γ = 90.00°
Space group I4/mmm (No. 139)
Unique sites:
1 Ga 0.000 0.000 0.000 x2
2 Sn 0.000 0.500 0.250 x4
3 Pt 0.000 0.000 0.374 x4


No. 12
A geometry-optimized MnPb structure, computed with PBE.

Output
calculated total energy = -71.676 eV for the cell shown

a = 4.336 Å, b = 8.174 Å, c = 7.650 Å
α = 90.00°, β = 90.00°, γ = 90.00°
Space group Pmmn (No. 59, origin choice 2)
Unique sites:
1 Mn 0.250 0.084 0.095 x4
2 Mn 0.250 0.250 0.394 x2
3 Pb 0.250 0.012 0.681 x4
4 Pb 0.250 0.750 0.050 x2


In order of appearance, volume = 108.0 795.3 207.4 611.5 788.7 188.1 103.2 67.0 283.8 616.4 232.8 271.1 Å³ per cell.